Entry 1:
DFT (GGA-PBE) results for a geometry-optimized Ba2ZnAg3Bi4 structure.

Geometry as CIF:
```
data_Ba2ZnAg3Bi4
_chemical_formula_sum 'Ba2 Zn1 Ag3 Bi4'
_cell_length_a 5.017
_cell_length_b 5.017
_cell_length_c 11.973
_cell_angle_alpha 90.00
_cell_angle_beta 90.00
_cell_angle_gamma 90.00
_symmetry_space_group_name_H-M 'P -4 m 2'
_symmetry_Int_Tables_number 115
_symmetry_space_group_name_Hall 'P -4 -2'
loop_
_atom_site_label
_atom_site_type_symbol
_atom_site_fract_x
_atom_site_fract_y
_atom_site_fract_z
Ba1 Ba 0.000 0.500 0.244
Zn1 Zn 0.500 0.500 0.000
Ag1 Ag 0.000 0.000 0.000
Ag2 Ag 0.000 0.500 0.635
Bi1 Bi 0.000 0.000 0.500
Bi2 Bi 0.000 0.500 0.872
Bi3 Bi 0.500 0.500 0.500
```

Energy relative to the elements   -38.39 kJ per mole of atoms
DOS at the Fermi energy   0.417 states/eV/atom

=====

Entry 2:
DFT (GGA-PBE) results for a geometry-optimized BaZnAgBi2 structure.

Geometry as CIF:
```
data_BaZnAgBi2
_chemical_formula_sum 'Ba2 Zn2 Ag2 Bi4'
_cell_length_a 4.718
_cell_length_b 4.718
_cell_length_c 13.607
_cell_angle_alpha 90.00
_cell_angle_beta 90.00
_cell_angle_gamma 90.00
_symmetry_space_group_name_H-M 'I -4 m 2'
_symmetry_Int_Tables_number 119
_symmetry_space_group_name_Hall 'I -4 -2'
loop_
_atom_site_label
_atom_site_type_symbol
_atom_site_fract_x
_atom_site_fract_y
_atom_site_fract_z
Ba1 Ba 0.000 0.000 0.000
Zn1 Zn 0.000 0.500 0.750
Ag1 Ag 0.000 0.500 0.250
Bi1 Bi 0.000 0.000 0.376
```

Energy relative to the elements   -32.83 kJ per mole of atoms
DOS at the Fermi energy   0.370 states/eV/atom

=====

Entry 3:
DFT (GGA-PBE) results for a geometry-optimized BaAgBr structure.

Geometry as CIF:
```
data_BaAgBr
_chemical_formula_sum 'Ba4 Ag4 Br4'
_cell_length_a 10.702
_cell_length_b 4.774
_cell_length_c 10.836
_cell_angle_alpha 90.00
_cell_angle_beta 90.00
_cell_angle_gamma 90.00
_symmetry_space_group_name_H-M 'A m m 2'
_symmetry_Int_Tables_number 38
_symmetry_space_group_name_Hall 'A 2 -2'
loop_
_atom_site_label
_atom_site_type_symbol
_atom_site_fract_x
_atom_site_fract_y
_atom_site_fract_z
Ba1 Ba 0.222 0.000 0.000
Ag1 Ag 0.000 0.000 0.395
Ag2 Ag 0.500 0.000 0.880
Br1 Br 0.231 0.000 0.698
```

Excess energy over the best structure of this formula in the dataset   132.6 meV per atom
Raw formation energy   -0.81 eV per atom

=====

Entry 4:
DFT (GGA-PBE) results for a geometry-optimized BaAgBr2 structure.

Geometry as CIF:
```
data_BaAgBr2
_chemical_formula_sum 'Ba4 Ag4 Br8'
_cell_length_a 7.945
_cell_length_b 7.945
_cell_length_c 7.945
_cell_angle_alpha 90.00
_cell_angle_beta 90.00
_cell_angle_gamma 90.00
_symmetry_space_group_name_H-M 'F -4 3 m'
_symmetry_Int_Tables_number 216
_symmetry_space_group_name_Hall 'F -4 2 3'
loop_
_atom_site_label
_atom_site_type_symbol
_atom_site_fract_x
_atom_site_fract_y
_atom_site_fract_z
Ba1 Ba 0.000 0.000 0.000
Ag1 Ag 0.250 0.250 0.750
Br1 Br 0.000 0.000 0.500
Br2 Br 0.250 0.250 0.250
```

Excess energy over the best structure of this formula in the dataset   242.2 meV per atom
Raw formation energy   -0.89 eV per atom
DOS at the Fermi energy   0.615 states/eV/atom

=====

Entry 5:
DFT (GGA-PBE) results for a geometry-optimized BaAg2Br structure.

Geometry as CIF:
```
data_BaAg2Br
_chemical_formula_sum 'Ba2 Ag4 Br2'
_cell_length_a 6.187
_cell_length_b 12.763
_cell_length_c 4.363
_cell_angle_alpha 90.00
_cell_angle_beta 133.32
_cell_angle_gamma 90.00
_symmetry_space_group_name_H-M 'C 1 2/m 1'
_symmetry_Int_Tables_number 12
_symmetry_space_group_name_Hall '-C 2y'
loop_
_atom_site_label
_atom_site_type_symbol
_atom_site_fract_x
_atom_site_fract_y
_atom_site_fract_z
Ba1 Ba 0.000 0.000 0.000
Ag1 Ag 0.250 0.250 0.500
Br1 Br 0.000 0.500 0.000
```

Excess energy over the best structure of this formula in the dataset   154.6 meV per atom
Raw formation energy   -0.52 eV per atom
DOS at the Fermi energy   0.297 states/eV/atom

=====

Entry 6:
DFT (GGA-PBE) results for a geometry-optimized BaAgBr4 structure.

Geometry as CIF:
```
data_BaAgBr4
_chemical_formula_sum 'Ba2 Ag2 Br8'
_cell_length_a 5.247
_cell_length_b 10.094
_cell_length_c 8.083
_cell_angle_alpha 90.00
_cell_angle_beta 90.03
_cell_angle_gamma 90.00
_symmetry_space_group_name_H-M 'P 1 21/m 1'
_symmetry_Int_Tables_number 11
_symmetry_space_group_name_Hall '-P 2yb'
loop_
_atom_site_label
_atom_site_type_symbol
_atom_site_fract_x
_atom_site_fract_y
_atom_site_fract_z
Ba1 Ba 0.249 0.250 0.488
Ag1 Ag 0.251 0.750 0.092
Br1 Br 0.249 0.250 0.909
Br2 Br 0.251 0.568 0.349
Br3 Br 0.251 0.750 0.773
```

Excess energy over the best structure of this formula in the dataset   0.0 meV per atom
Raw formation energy   -1.18 eV per atom
DOS at the Fermi energy   0.304 states/eV/atom

=====

Entry 7:
DFT (GGA-PBE) results for a geometry-optimized Ba2AgBr structure.

Geometry as CIF:
```
data_Ba2AgBr
_chemical_formula_sum 'Ba8 Ag4 Br4'
_cell_length_a 8.295
_cell_length_b 8.295
_cell_length_c 8.295
_cell_angle_alpha 90.00
_cell_angle_beta 90.00
_cell_angle_gamma 90.00
_symmetry_space_group_name_H-M 'F -4 3 m'
_symmetry_Int_Tables_number 216
_symmetry_space_group_name_Hall 'F -4 2 3'
loop_
_atom_site_label
_atom_site_type_symbol
_atom_site_fract_x
_atom_site_fract_y
_atom_site_fract_z
Ba1 Ba 0.000 0.000 0.000
Ba2 Ba 0.250 0.250 0.250
Ag1 Ag 0.250 0.250 0.750
Br1 Br 0.000 0.000 0.500
```

Excess energy over the best structure of this formula in the dataset   654.1 meV per atom
Raw formation energy   -0.26 eV per atom
DOS at the Fermi energy   1.250 states/eV/atom

=====

Entry 8:
DFT (GGA-PBE) results for a geometry-optimized BaAgBr2 structure.

Geometry as CIF:
```
data_BaAgBr2
_chemical_formula_sum 'Ba1 Ag1 Br2'
_cell_length_a 4.132
_cell_length_b 4.132
_cell_length_c 7.624
_cell_angle_alpha 90.00
_cell_angle_beta 90.00
_cell_angle_gamma 90.00
_symmetry_space_group_name_H-M 'P 4/m m m'
_symmetry_Int_Tables_number 123
_symmetry_space_group_name_Hall '-P 4 2'
loop_
_atom_site_label
_atom_site_type_symbol
_atom_site_fract_x
_atom_site_fract_y
_atom_site_fract_z
Ba1 Ba 0.000 0.000 0.000
Ag1 Ag 0.000 0.000 0.500
Br1 Br 0.500 0.500 0.231
```

Excess energy over the best structure of this formula in the dataset   138.4 meV per atom
Raw formation energy   -1.00 eV per atom
DOS at the Fermi energy   0.768 states/eV/atom

=====

Entry 9:
DFT (GGA-PBE) results for a geometry-optimized BaAg2Br4 structure.

Geometry as CIF:
```
data_BaAg2Br4
_chemical_formula_sum 'Ba4 Ag8 Br16'
_cell_length_a 10.510
_cell_length_b 10.510
_cell_length_c 8.504
_cell_angle_alpha 90.00
_cell_angle_beta 90.00
_cell_angle_gamma 90.00
_symmetry_space_group_name_H-M 'I -4 2 d'
_symmetry_Int_Tables_number 122
_symmetry_space_group_name_Hall 'I -4 2bw'
loop_
_atom_site_label
_atom_site_type_symbol
_atom_site_fract_x
_atom_site_fract_y
_atom_site_fract_z
Ba1 Ba 0.000 0.000 0.000
Ag1 Ag 0.098 0.250 0.625
Br1 Br 0.015 0.696 0.914
```

Excess energy over the best structure of this formula in the dataset   0.0 meV per atom
Raw formation energy   -1.11 eV per atom
DOS at the Fermi energy   0.000 states/eV/atom

=====

Entry 10:
DFT (GGA-PBE) results for a geometry-optimized BaAgBr2 structure.

Geometry as CIF:
```
data_BaAgBr2
_chemical_formula_sum 'Ba1 Ag1 Br2'
_cell_length_a 4.584
_cell_length_b 4.713
_cell_length_c 6.414
_cell_angle_alpha 90.00
_cell_angle_beta 110.91
_cell_angle_gamma 90.00
_symmetry_space_group_name_H-M 'P 1 m 1'
_symmetry_Int_Tables_number 6
_symmetry_space_group_name_Hall 'P -2y'
loop_
_atom_site_label
_atom_site_type_symbol
_atom_site_fract_x
_atom_site_fract_y
_atom_site_fract_z
Ba1 Ba 0.000 0.000 0.000
Ag1 Ag 0.839 0.500 0.588
Br1 Br 0.296 0.000 0.583
Br2 Br 0.558 0.500 0.114
```

Excess energy over the best structure of this formula in the dataset   0.0 meV per atom
Raw formation energy   -1.14 eV per atom
DOS at the Fermi energy   0.444 states/eV/atom

=====

Entry 11:
DFT (GGA-PBE) results for a geometry-optimized BaAgBr structure.

Geometry as CIF:
```
data_BaAgBr
_chemical_formula_sum 'Ba4 Ag4 Br4'
_cell_length_a 7.868
_cell_length_b 7.868
_cell_length_c 7.868
_cell_angle_alpha 90.00
_cell_angle_beta 90.00
_cell_angle_gamma 90.00
_symmetry_space_group_name_H-M 'F -4 3 m'
_symmetry_Int_Tables_number 216
_symmetry_space_group_name_Hall 'F -4 2 3'
loop_
_atom_site_label
_atom_site_type_symbol
_atom_site_fract_x
_atom_site_fract_y
_atom_site_fract_z
Ba1 Ba 0.000 0.000 0.000
Ag1 Ag 0.250 0.250 0.250
Br1 Br 0.250 0.250 0.750
```

Excess energy over the best structure of this formula in the dataset   0.0 meV per atom
Raw formation energy   -0.95 eV per atom
DOS at the Fermi energy   0.000 states/eV/atom

=====

Entry 12:
DFT (GGA-PBE) results for a geometry-optimized BaAgBr2 structure.

Geometry as CIF:
```
data_BaAgBr2
_chemical_formula_sum 'Ba4 Ag4 Br8'
_cell_length_a 7.935
_cell_length_b 7.935
_cell_length_c 7.935
_cell_angle_alpha 90.00
_cell_angle_beta 90.00
_cell_angle_gamma 90.00
_symmetry_space_group_name_H-M 'F m -3 m'
_symmetry_Int_Tables_number 225
_symmetry_space_group_name_Hall '-F 4 2 3'
loop_
_atom_site_label
_atom_site_type_symbol
_atom_site_fract_x
_atom_site_fract_y
_atom_site_fract_z
Ba1 Ba 0.000 0.000 0.000
Ag1 Ag 0.000 0.000 0.500
Br1 Br 0.250 0.250 0.250
```

Excess energy over the best structure of this formula in the dataset   17.6 meV per atom
Raw formation energy   -1.12 eV per atom
DOS at the Fermi energy   0.854 states/eV/atom

=====

We obtain calculated total energy values of -33.18; -31.02; -35.55; -46.77; -22.72; -37.05; -37.63; -12.11; -88.45; -12.66; -37.14; -50.36 eV per cell for the records listed above, in that order.